Run w
{"formula": "KNb2", "functional": "PBE", "state": "relaxed", "space_group": "No. 227", "cell": [[0.0000, 5.2818, 5.2818], [5.2818, 0.0000, 5.2818], [5.2818, 5.2818, 0.0000]], "species": ["K", "K", "Nb", "Nb", "Nb", "Nb"], "frac_coords": [[0.1250, 0.1250, 0.1250], [0.8750, 0.8750, 0.8750], [0.0000, 0.0000, 0.0000], [0.0000, 0.0000, 0.5000], [0.0000, 0.5000, 0.0000], [0.5000, 0.0000, 0.0000]]}

Run x
{"formula": "KNb2", "functional": "PBE", "state": "relaxed", "space_group": "No. 227", "cell": [[0.0000, 4.1826, 4.1826], [4.1826, 0.0000, 4.1826], [4.1826, 4.1826, 0.0000]], "species": ["K", "K", "Nb", "Nb", "Nb", "Nb"], "frac_coords": [[0.1250, 0.1250, 0.1250], [0.8750, 0.8750, 0.8750], [0.0000, 0.5000, 0.5000], [0.5000, 0.0000, 0.5000], [0.5000, 0.5000, 0.0000], [0.5000, 0.5000, 0.5000]]}

run x takes first place; second place is 371.1 kJ/mol of atoms up.

Run w
{"formula": "KNb", "functional": "PBE", "state": "relaxed", "space_group": "No. 194", "cell": [[6.3812, 0.0000, 0.0000], [-3.1906, 5.5263, 0.0000], [0.0000, 0.0000, 4.7015]], "species": ["K", "K", "Nb", "Nb"], "frac_coords": [[0.3333, 0.6667, 0.2500], [0.6667, 0.3333, 0.7500], [0.0000, 0.0000, 0.0000], [0.0000, 0.0000, 0.5000]]}

Run x
{"formula": "KNb", "functional": "PBE", "state": "relaxed", "space_group": "No. 216", "cell": [[0.0000, 4.0430, 4.0430], [4.0430, 0.0000, 4.0430], [4.0430, 4.0430, 0.0000]], "species": ["K", "Nb"], "frac_coords": [[0.0000, 0.0000, 0.0000], [0.7500, 0.7500, 0.7500]]}

Run y
{"formula": "KNb", "functional": "PBE", "state": "relaxed", "space_group": "No. 194", "cell": [[5.4709, 0.0000, 0.0000], [-2.7354, 4.7379, 0.0000], [0.0000, 0.0000, 6.5413]], "species": ["K", "K", "Nb", "Nb"], "frac_coords": [[0.0000, 0.0000, 0.0000], [0.0000, 0.0000, 0.5000], [0.3333, 0.6667, 0.2500], [0.6667, 0.3333, 0.7500]]}

Run z
{"formula": "KNb", "functional": "PBE", "state": "relaxed", "space_group": "No. 187", "cell": [[2.9784, 0.0000, 0.0000], [-1.4892, 2.5794, 0.0000], [0.0000, 0.0000, 6.6202]], "species": ["K", "Nb"], "frac_coords": [[0.0000, 0.0000, 0.0000], [0.6667, 0.3333, 0.5000]]}

run z takes first place; second place is 23.0 kJ/mol of atoms up.

Run w
{"formula": "KNbOs", "functional": "PBE", "state": "relaxed", "space_group": "No. 216", "cell": [[0.0000, 3.1729, 3.1729], [3.1729, 0.0000, 3.1729], [3.1729, 3.1729, 0.0000]], "species": ["K", "Nb", "Os"], "frac_coords": [[0.0000, 0.0000, 0.0000], [0.7500, 0.7500, 0.7500], [0.2500, 0.2500, 0.2500]]}

Run x
{"formula": "KNbOs", "functional": "PBE", "state": "relaxed", "space_group": "No. 216", "cell": [[0.0000, 3.2363, 3.2363], [3.2363, 0.0000, 3.2363], [3.2363, 3.2363, 0.0000]], "species": ["K", "Nb", "Os"], "frac_coords": [[0.0000, 0.0000, 0.0000], [0.5000, 0.5000, 0.5000], [0.2500, 0.2500, 0.2500]]}

run x takes first place; second place is 140.2 kJ/mol of atoms up.

Run w
{"formula": "KNbPb", "functional": "PBE", "state": "relaxed", "space_group": "No. 216", "cell": [[0.0000, 3.7188, 3.7188], [3.7188, 0.0000, 3.7188], [3.7188, 3.7188, 0.0000]], "species": ["K", "Nb", "Pb"], "frac_coords": [[0.0000, 0.0000, 0.0000], [0.7500, 0.7500, 0.7500], [0.2500, 0.2500, 0.2500]]}

Run x
{"formula": "KNbPb", "functional": "PBE", "state": "relaxed", "space_group": "No. 216", "cell": [[0.0000, 3.6772, 3.6772], [3.6772, 0.0000, 3.6772], [3.6772, 3.6772, 0.0000]], "species": ["K", "Nb", "Pb"], "frac_coords": [[0.0000, 0.0000, 0.0000], [0.5000, 0.5000, 0.5000], [0.2500, 0.2500, 0.2500]]}

run x takes first place; second place is 58.1 kJ/mol of atoms up.

Run w
{"formula": "KNbPt", "functional": "PBE", "state": "relaxed", "space_group": "No. 216", "cell": [[0.0000, 3.4198, 3.4198], [3.4198, 0.0000, 3.4198], [3.4198, 3.4198, 0.0000]], "species": ["K", "Nb", "Pt"], "frac_coords": [[0.0000, 0.0000, 0.0000], [0.7500, 0.7500, 0.7500], [0.2500, 0.2500, 0.2500]]}

Run x
{"formula": "KNbPt", "functional": "PBE", "state": "relaxed", "space_group": "No. 216", "cell": [[0.0000, 3.3256, 3.3256], [3.3256, 0.0000, 3.3256], [3.3256, 3.3256, 0.0000]], "species": ["K", "Nb", "Pt"], "frac_coords": [[0.0000, 0.0000, 0.0000], [0.5000, 0.5000, 0.5000], [0.2500, 0.2500, 0.2500]]}

run x takes first place; second place is 91.4 kJ/mol of atoms up.

Run w
{"formula": "KNbSb", "functional": "PBE", "state": "relaxed", "space_group": "No. 216", "cell": [[0.0000, 3.6415, 3.6415], [3.6415, 0.0000, 3.6415], [3.6415, 3.6415, 0.0000]], "species": ["K", "Nb", "Sb"], "frac_coords": [[0.0000, 0.0000, 0.0000], [0.7500, 0.7500, 0.7500], [0.2500, 0.2500, 0.2500]]}

Run x
{"formula": "KNbSb", "functional": "PBE", "state": "relaxed", "space_group": "No. 129", "cell": [[4.2543, 0.0000, 0.0000], [0.0000, 4.2543, 0.0000], [0.0000, 0.0000, 9.5490]], "species": ["K", "K", "Nb", "Nb", "Sb", "Sb"], "frac_coords": [[0.2500, 0.2500, 0.1412], [0.7500, 0.7500, 0.8588], [0.2500, 0.7500, 0.5000], [0.7500, 0.2500, 0.5000], [0.2500, 0.2500, 0.7028], [0.7500, 0.7500, 0.2972]]}

run x takes first place; second place is 157.9 kJ/mol of atoms up.